Entry P
This record from Alexandria via LeMat-Bulk describes a relaxed GeTe3Mo crystal. The functional is PBE.

Computed properties:
The space group is No. 221. As for the crystal system: cubic.

Geometry as CIF:
```
data_GeTe3Mo
_symmetry_space_group_name_H-M 'P 1'
_symmetry_Int_Tables_number 1
_symmetry_space_group_name_Hall 'P 1'
_cell_length_a 5.354
_cell_length_b 5.354
_cell_length_c 5.354
_cell_angle_alpha 90.00
_cell_angle_beta 90.00
_cell_angle_gamma 90.00
loop_
_atom_site_label
_atom_site_type_symbol
_atom_site_fract_x
_atom_site_fract_y
_atom_site_fract_z
Te1 Te 0.000 0.500 0.000
Te2 Te 0.500 0.000 0.000
Te3 Te 0.000 0.000 0.500
Ge1 Ge 0.000 0.000 0.000
Mo1 Mo 0.500 0.500 0.500
```

=====

Entry Q
This record from Alexandria via LeMat-Bulk describes a relaxed GeTe3Mo crystal. The functional is PBE.

Computed properties:
The space group is No. 221. As for the crystal system: cubic.

Geometry as CIF:
```
data_GeTe3Mo
_symmetry_space_group_name_H-M 'P 1'
_symmetry_Int_Tables_number 1
_symmetry_space_group_name_Hall 'P 1'
_cell_length_a 5.311
_cell_length_b 5.311
_cell_length_c 5.311
_cell_angle_alpha 90.00
_cell_angle_beta 90.00
_cell_angle_gamma 90.00
loop_
_atom_site_label
_atom_site_type_symbol
_atom_site_fract_x
_atom_site_fract_y
_atom_site_fract_z
Te1 Te 0.000 0.000 0.500
Te2 Te 0.500 0.000 0.000
Te3 Te 0.000 0.500 0.000
Ge1 Ge 0.500 0.500 0.500
Mo1 Mo 0.000 0.000 0.000
```

=====

entry Q has the most favorable energy; the next structure is 458 meV per atom above.

=====

Entry P
This record from Alexandria via LeMat-Bulk describes a relaxed GeTeMo3 crystal. The functional is PBE.

Computed properties:
The space group is No. 221. As for the crystal system: cubic.

Geometry as CIF:
```
data_GeTeMo3
_symmetry_space_group_name_H-M 'P 1'
_symmetry_Int_Tables_number 1
_symmetry_space_group_name_Hall 'P 1'
_cell_length_a 4.689
_cell_length_b 4.689
_cell_length_c 4.689
_cell_angle_alpha 90.00
_cell_angle_beta 90.00
_cell_angle_gamma 90.00
loop_
_atom_site_label
_atom_site_type_symbol
_atom_site_fract_x
_atom_site_fract_y
_atom_site_fract_z
Mo1 Mo 0.000 0.500 0.000
Mo2 Mo 0.000 0.000 0.500
Mo3 Mo 0.500 0.000 0.000
Te1 Te 0.500 0.500 0.500
Ge1 Ge 0.000 0.000 0.000
```

=====

Entry Q
This record from Alexandria via LeMat-Bulk describes a relaxed GeTeMo3 crystal. The functional is PBE.

Computed properties:
The space group is No. 221. As for the crystal system: cubic.

Geometry as CIF:
```
data_GeTeMo3
_symmetry_space_group_name_H-M 'P 1'
_symmetry_Int_Tables_number 1
_symmetry_space_group_name_Hall 'P 1'
_cell_length_a 4.904
_cell_length_b 4.904
_cell_length_c 4.904
_cell_angle_alpha 90.00
_cell_angle_beta 90.00
_cell_angle_gamma 90.00
loop_
_atom_site_label
_atom_site_type_symbol
_atom_site_fract_x
_atom_site_fract_y
_atom_site_fract_z
Te1 Te 0.000 0.000 0.000
Mo1 Mo 0.500 0.000 0.000
Mo2 Mo 0.000 0.000 0.500
Mo3 Mo 0.000 0.500 0.000
Ge1 Ge 0.500 0.500 0.500
```

=====

entry P has the most favorable energy; the next structure is 624 meV per atom above.